# TbDyAl2Pt4, relaxed, DFT PBE-GGA
# **Calculated total energy**: -50.43 eV for the cell shown
# **Density**: 12.681 Mg/m³
data_TbDyAl2Pt4
_cell_length_a 4.3444
_cell_length_b 4.3444
_cell_length_c 9.2590
_cell_angle_alpha 90.00
_cell_angle_beta 90.00
_cell_angle_gamma 120.00
_symmetry_space_group_name_H-M 'P -6 m 2'
_symmetry_Int_Tables_number 187
_symmetry_space_group_name_Hall 'P -6 2'
loop_
_atom_site_label
_atom_site_fract_x
_atom_site_fract_y
_atom_site_fract_z
_atom_site_occupancy
Tb1 0.0000 0.0000 0.0000 1
Dy1 0.6667 0.3333 0.5000 1
Al1 0.3333 0.6667 0.2501 1
Pt1 0.0000 0.0000 0.3324 1
Pt2 0.6667 0.3333 0.1680 1

# MgZnNO, relaxed, DFT PBE-GGA
# **Calculated total energy**: -39.56 eV for the cell shown
# **Offset from the most stable computed form**: 0 meV/atom
# **Density**: 5.135 Mg/m³
data_MgZnNO
_cell_length_a 4.146
_cell_length_b 4.146
_cell_length_c 4.503
_cell_angle_alpha 90.00
_cell_angle_beta 90.00
_cell_angle_gamma 90.00
_symmetry_space_group_name_H-M 'P 4/n m m'
_symmetry_Int_Tables_number 129
loop_
_symmetry_equiv_pos_as_xyz
'x,y,z'
'-x,-y,-z'
'-y+1/2,x,z'
'y+1/2,-x,-z'
'-x+1/2,-y+1/2,z'
'x+1/2,y+1/2,-z'
'y,-x+1/2,z'
'-y,x+1/2,-z'
'x+1/2,-y,-z'
'-x+1/2,y,z'
'-y,-x,-z'
'y,x,z'
'-x,y+1/2,-z'
'x,-y+1/2,z'
'y+1/2,x+1/2,-z'
'-y+1/2,-x+1/2,z'
loop_
_atom_site_label
_atom_site_fract_x
_atom_site_fract_y
_atom_site_fract_z
_atom_site_occupancy
Mg1 0.250 0.250 0.001 1
Zn1 0.250 0.750 0.500 1
N1 0.250 0.250 0.500 1
O1 0.250 0.750 0.000 1

# GeIr, relaxed, DFT PBE-GGA
# **Calculated total energy**: -56.45 eV for the cell shown
# **Density**: 13.774 Mg/m³
data_GeIr
_cell_length_a 5.627
_cell_length_b 3.564
_cell_length_c 6.369
_cell_angle_alpha 90.00
_cell_angle_beta 90.00
_cell_angle_gamma 90.00
_symmetry_space_group_name_H-M 'P n m a'
_symmetry_Int_Tables_number 62
loop_
_symmetry_equiv_pos_as_xyz
'x,y,z'
'-x,-y,-z'
'-x+1/2,-y,z+1/2'
'x+1/2,y,-z+1/2'
'x+1/2,-y+1/2,-z+1/2'
'-x+1/2,y+1/2,z+1/2'
'-x,y+1/2,-z'
'x,-y+1/2,z'
loop_
_atom_site_label
_atom_site_fract_x
_atom_site_fract_y
_atom_site_fract_z
_atom_site_occupancy
Ge1 0.193 0.250 0.076 1
Ir1 0.004 0.250 0.708 1

# PmCdRe, relaxed, DFT PBE-GGA
# **Calculated total energy**: -56.03 eV for the cell shown
# **ΔH_f (0 K)**: 4.1 eV per formula unit
# **Offset from the most stable computed form**: 340 meV/atom
# **Density**: 8.963 Mg/m³
data_PmCdRe
_cell_length_a 6.902
_cell_length_b 6.902
_cell_length_c 6.902
_cell_angle_alpha 90.00
_cell_angle_beta 90.00
_cell_angle_gamma 90.00
_symmetry_space_group_name_H-M 'F -4 3 m'
_symmetry_Int_Tables_number 216
_symmetry_space_group_name_Hall 'F -4 2 3'
loop_
_atom_site_label
_atom_site_fract_x
_atom_site_fract_y
_atom_site_fract_z
_atom_site_occupancy
Pm1 0.000 0.000 0.000 1
Cd1 0.250 0.250 0.750 1
Re1 0.250 0.250 0.250 1